VASP calculation (GGA-PBE) on KRb3S8 after structural relaxation.

Formation energy (no corrections) ... -484 meV/atom
M_tot ... 4.085 μB per formula unit

Cell: 11.006 12.584 8.346 Å, 90.00 131.06 90.00°
Space group Cm (No. 8)
Unique sites:
K (0.000, 0.000, 0.000) [2 per cell]
Rb (0.000, 0.250, 0.499) [4 per cell]
Rb (0.000, 0.500, 0.999) [2 per cell]
S (0.102, 0.240, 0.999) [4 per cell]
S (0.107, 0.500, 0.708) [2 per cell]
S (0.138, 0.000, 0.482) [2 per cell]
S (0.159, 0.500, 0.519) [2 per cell]
S (0.248, 0.145, 0.999) [4 per cell]
S (0.397, 0.500, 0.292) [2 per cell]